P | A plane-wave DFT calculation with PBE-GGA was carried out for a geometry-optimized TmTlGa structure.

Cell: 6.9256 6.9256 6.9256 Å, 90.00 90.00 90.00°
With the nearest neighbours (Å) after each atom.
Space group F-43m (No. 216)
Unique sites:
Tm: 0.0000 0.0000 0.0000  4 Tl 3.00, 4 Ga 3.00
Tl: 0.2500 0.2500 0.2500  4 Tm 3.00
Ga: 0.2500 0.2500 0.7500  4 Tm 3.00

Q | A plane-wave DFT calculation with PBE-GGA was carried out for a geometry-optimized TmTlGa structure.

Cell: 6.8725 6.8725 6.8725 Å, 90.00 90.00 90.00°
With the nearest neighbours (Å) after each atom.
Space group F-43m (No. 216)
Unique sites:
Tm: 0.0000 0.0000 0.0000  4 Tl 2.98
Tl: 0.2500 0.2500 0.7500  4 Ga 2.98, 4 Tm 2.98
Ga: 0.0000 0.0000 0.5000  4 Tl 2.98

The least stable of the structures above is P, whereas Q is the most stable.